# SrReSe2 | the Alexandria database | GGA-PBE | relaxed
# Final energy in eV per atom: -5.526
# Distance to the lowest polymorph of the same formula in meV/atom: 273
# Total magnetization in μB/cell: 0.000
# ΔE_f (raw) in eV per atom: -0.251
# D(E_F) in states/eV per atom: 0.6304
data_SrReSe2
_cell_length_a 3.5583
_cell_length_b 3.7096
_cell_length_c 13.3798
_cell_angle_alpha 90.00
_cell_angle_beta 90.00
_cell_angle_gamma 90.00
_symmetry_space_group_name_H-M 'I m m 2'
_symmetry_Int_Tables_number 44
loop_
_symmetry_equiv_pos_as_xyz
'x,y,z'
'-x,-y,z'
'-x,y,z'
'x,-y,z'
'x+1/2,y+1/2,z+1/2'
'-x+1/2,-y+1/2,z+1/2'
'-x+1/2,y+1/2,z+1/2'
'x+1/2,-y+1/2,z+1/2'
loop_
_atom_site_label
_atom_site_fract_x
_atom_site_fract_y
_atom_site_fract_z
Sr1 0.0000 0.0000 0.0000
Re1 0.0000 0.5000 0.7385
Se1 0.0000 0.0000 0.6166
Se2 0.0000 0.5000 0.3179

---

# Dy12Tm5Th2 | the Alexandria database | GGA-PBE | relaxed
# ΔE_f in eV per atom: 0.152
# Final energy in eV per atom: -4.712
# Distance to the lowest polymorph of the same formula in meV/atom: 127
# Total magnetization in μB/cell: 0.000
# D(E_F) in states/eV per atom: 1.4612
data_Dy12Tm5Th2
_cell_length_a 15.5570
_cell_length_b 9.3218
_cell_length_c 8.4566
_cell_angle_alpha 90.00
_cell_angle_beta 91.03
_cell_angle_gamma 90.00
_symmetry_space_group_name_H-M 'C 1 2/m 1'
_symmetry_Int_Tables_number 12
loop_
_symmetry_equiv_pos_as_xyz
'x,y,z'
'-x,-y,-z'
'-x,y,-z'
'x,-y,z'
'x+1/2,y+1/2,z'
'-x+1/2,-y+1/2,-z'
'-x+1/2,y+1/2,-z'
'x+1/2,-y+1/2,z'
loop_
_atom_site_label
_atom_site_fract_x
_atom_site_fract_y
_atom_site_fract_z
Dy1 0.0585 0.0000 0.3252
Dy2 0.0894 0.5000 0.8834
Dy3 0.1266 0.1923 0.6558
Dy4 0.1549 0.3201 0.2414
Tm1 0.0000 0.5000 0.5000
Tm2 0.1950 0.0000 0.0128
Tm3 0.2319 0.5000 0.5761
Th1 0.0000 0.1794 0.0000

---

# CsMgTl2F8 | the Alexandria database | GGA-PBE | relaxed
# Final energy in eV per atom: -4.142
# Total magnetization in μB/cell: 0.000
# ΔE_f (raw) in eV per atom: -2.296
# D(E_F) in states/eV per atom: 0.2114
data_CsMgTl2F8
_cell_length_a 5.8289
_cell_length_b 5.8289
_cell_length_c 22.5189
_cell_angle_alpha 90.00
_cell_angle_beta 90.00
_cell_angle_gamma 120.00
_symmetry_space_group_name_H-M 'R -3 m'
_symmetry_Int_Tables_number 166
_symmetry_space_group_name_Hall '-R 3 2"'
loop_
_atom_site_label
_atom_site_fract_x
_atom_site_fract_y
_atom_site_fract_z
Cs1 0.0000 0.0000 0.0000
Mg1 0.0000 0.0000 0.5000
Tl1 0.0000 0.0000 0.1951
F1 0.0000 0.0000 0.2881
F2 0.0078 0.5039 0.7884

---

# CsTaBe | the Alexandria database | GGA-PBE | relaxed
# ΔE_f in eV per atom: 0.473
# Final energy in eV per atom: -5.004
# Distance to the lowest polymorph of the same formula in meV/atom: 0
# Total magnetization in μB/cell: 0.000
# D(E_F) in states/eV per atom: 0.4620
data_CsTaBe
_cell_length_a 3.4508
_cell_length_b 3.8463
_cell_length_c 13.0594
_cell_angle_alpha 89.52
_cell_angle_beta 88.47
_cell_angle_gamma 90.00
_symmetry_space_group_name_H-M 'P -1'
_symmetry_Int_Tables_number 2
loop_
_symmetry_equiv_pos_as_xyz
'x,y,z'
'-x,-y,-z'
loop_
_atom_site_label
_atom_site_fract_x
_atom_site_fract_y
_atom_site_fract_z
Cs1 0.2198 0.4910 0.3128
Ta1 0.2420 0.9977 0.0779
Be1 0.2556 0.5016 0.9486

---

# TlPtBr2 | the Alexandria database | GGA-PBE | relaxed
# Final energy in eV per atom: -2.934
# Distance to the lowest polymorph of the same formula in meV/atom: 205
# Total magnetization in μB/cell: 3.000
# ΔE_f (raw) in eV per atom: 0.004
# D(E_F) in states/eV per atom: 2.2396
data_TlPtBr2
_cell_length_a 4.8532
_cell_length_b 4.8532
_cell_length_c 24.3720
_cell_angle_alpha 90.00
_cell_angle_beta 90.00
_cell_angle_gamma 120.00
_symmetry_space_group_name_H-M 'R -3 m'
_symmetry_Int_Tables_number 166
_symmetry_space_group_name_Hall '-R 3 2"'
loop_
_atom_site_label
_atom_site_fract_x
_atom_site_fract_y
_atom_site_fract_z
Tl1 0.0000 0.0000 0.0000
Pt1 0.0000 0.0000 0.5000
Br1 0.0000 0.0000 0.4027

---

# Na2As7Rh12 | the Alexandria database | GGA-PBE | relaxed
# ΔE_f in eV per atom: -0.506
# Final energy in eV per atom: -6.382
# Total magnetization in μB/cell: 0.000
# D(E_F) in states/eV per atom: 0.4162
data_Na2As7Rh12
_cell_length_a 9.9872
_cell_length_b 9.9872
_cell_length_c 3.8592
_cell_angle_alpha 90.00
_cell_angle_beta 90.00
_cell_angle_gamma 120.00
_symmetry_space_group_name_H-M 'P -6'
_symmetry_Int_Tables_number 174
loop_
_symmetry_equiv_pos_as_xyz
'x,y,z'
'-x+y,-x,-z'
'-y,x-y,z'
'x,y,-z'
'-x+y,-x,z'
'-y,x-y,-z'
loop_
_atom_site_label
_atom_site_fract_x
_atom_site_fract_y
_atom_site_fract_z
Na1 0.0000 0.0000 0.0000
Na2 0.3333 0.6667 0.5000
As1 0.0748 0.6250 0.0000
As2 0.2599 0.0462 0.5000
As3 0.6667 0.3333 0.5000
Rh1 0.0471 0.7774 0.5000
Rh2 0.1072 0.3902 0.0000
Rh3 0.4210 0.2273 0.0000
Rh4 0.5133 0.0615 0.5000

---

# MnZnW | the Alexandria database | GGA-PBE | relaxed
# ΔE_f in eV per atom: 0.241
# Final energy in eV per atom: -7.558
# Distance to the lowest polymorph of the same formula in meV/atom: 49
# Total magnetization in μB/cell: 2.450
# D(E_F) in states/eV per atom: 0.6485
data_MnZnW
_cell_length_a 2.6516
_cell_length_b 3.9675
_cell_length_c 7.9139
_cell_angle_alpha 90.00
_cell_angle_beta 90.00
_cell_angle_gamma 90.00
_symmetry_space_group_name_H-M 'I m m 2'
_symmetry_Int_Tables_number 44
loop_
_symmetry_equiv_pos_as_xyz
'x,y,z'
'-x,-y,z'
'-x,y,z'
'x,-y,z'
'x+1/2,y+1/2,z+1/2'
'-x+1/2,-y+1/2,z+1/2'
'-x+1/2,y+1/2,z+1/2'
'x+1/2,-y+1/2,z+1/2'
loop_
_atom_site_label
_atom_site_fract_x
_atom_site_fract_y
_atom_site_fract_z
Mn1 0.0000 0.0000 0.0000
Zn1 0.0000 0.0000 0.6617
W1 0.0000 0.0000 0.3298

---

# Rb3Np3TcS8 | the Alexandria database | GGA-PBE | relaxed
# Final energy in eV per atom: -6.814
# Total magnetization in μB/cell: 4.493
# ΔE_f (raw) in eV per atom: -1.140
# D(E_F) in states/eV per atom: 1.7834
data_Rb3Np3TcS8
_cell_length_a 13.4600
_cell_length_b 7.8053
_cell_length_c 9.0880
_cell_angle_alpha 90.00
_cell_angle_beta 119.25
_cell_angle_gamma 90.00
_symmetry_space_group_name_H-M 'C 1 2/m 1'
_symmetry_Int_Tables_number 12
loop_
_symmetry_equiv_pos_as_xyz
'x,y,z'
'-x,-y,-z'
'-x,y,-z'
'x,-y,z'
'x+1/2,y+1/2,z'
'-x+1/2,-y+1/2,-z'
'-x+1/2,y+1/2,-z'
'x+1/2,-y+1/2,z'
loop_
_atom_site_label
_atom_site_fract_x
_atom_site_fract_y
_atom_site_fract_z
Rb1 0.0000 0.0000 0.0000
Rb2 0.2500 0.2500 0.0000
Np1 0.0000 0.5000 0.5000
Np2 0.2500 0.2500 0.5000
Tc1 0.0000 0.0000 0.5000
S1 0.0175 0.2326 0.3200
S2 0.2158 0.0000 0.6799
S3 0.2331 0.5000 0.6974

---

# YMgOs2 | the Alexandria database | GGA-PBE | relaxed
# ΔE_f in eV per atom: 0.280
# Final energy in eV per atom: -7.350
# Total magnetization in μB/cell: 1.073
# D(E_F) in states/eV per atom: 1.1409
data_YMgOs2
_cell_length_a 3.4215
_cell_length_b 3.4215
_cell_length_c 6.2197
_cell_angle_alpha 90.00
_cell_angle_beta 90.00
_cell_angle_gamma 90.00
_symmetry_space_group_name_H-M 'P 4/m m m'
_symmetry_Int_Tables_number 123
_symmetry_space_group_name_Hall '-P 4 2'
loop_
_atom_site_label
_atom_site_fract_x
_atom_site_fract_y
_atom_site_fract_z
Y1 0.0000 0.0000 0.0000
Mg1 0.0000 0.0000 0.5000
Os1 0.5000 0.5000 0.2930

---

# Tb4Y5Mg2 | the Alexandria database | GGA-PBE | relaxed
# ΔE_f in eV per atom: 0.014
# Final energy in eV per atom: -4.898
# Total magnetization in μB/cell: 0.000
# D(E_F) in states/eV per atom: 1.2843
data_Tb4Y5Mg2
_cell_length_a 8.9688
_cell_length_b 21.1633
_cell_length_c 3.5740
_cell_angle_alpha 90.00
_cell_angle_beta 90.00
_cell_angle_gamma 90.00
_symmetry_space_group_name_H-M 'P b a m'
_symmetry_Int_Tables_number 55
loop_
_symmetry_equiv_pos_as_xyz
'x,y,z'
'-x,-y,-z'
'-x,-y,z'
'x,y,-z'
'x+1/2,-y+1/2,-z'
'-x+1/2,y+1/2,z'
'-x+1/2,y+1/2,-z'
'x+1/2,-y+1/2,z'
loop_
_atom_site_label
_atom_site_fract_x
_atom_site_fract_y
_atom_site_fract_z
Tb1 0.0704 0.1477 0.0000
Tb2 0.2167 0.4242 0.0000
Y1 0.0000 0.0000 0.5000
Y2 0.1280 0.5647 0.5000
Y3 0.2438 0.7817 0.5000
Mg1 0.0397 0.6901 0.0000

---

# CePaCuOs | the Alexandria database | GGA-PBE | relaxed
# ΔE_f in eV per atom: -0.088
# Final energy in eV per atom: -7.776
# Total magnetization in μB/cell: 0.004
# D(E_F) in states/eV per atom: 1.4919
data_CePaCuOs
_cell_length_a 6.9064
_cell_length_b 6.9064
_cell_length_c 6.9064
_cell_angle_alpha 90.00
_cell_angle_beta 90.00
_cell_angle_gamma 90.00
_symmetry_space_group_name_H-M 'F -4 3 m'
_symmetry_Int_Tables_number 216
_symmetry_space_group_name_Hall 'F -4 2 3'
loop_
_atom_site_label
_atom_site_fract_x
_atom_site_fract_y
_atom_site_fract_z
Ce1 0.0000 0.0000 0.0000
Pa1 0.0000 0.0000 0.5000
Cu1 0.2500 0.2500 0.7500
Os1 0.2500 0.2500 0.2500

---

# Nd3Ga2Pd | the Alexandria database | GGA-PBE | relaxed
# ΔE_f in eV per atom: -0.623
# Final energy in eV per atom: -4.881
# Total magnetization in μB/cell: 0.000
# D(E_F) in states/eV per atom: 0.9401
data_Nd3Ga2Pd
_cell_length_a 12.1943
_cell_length_b 4.4810
_cell_length_c 11.4415
_cell_angle_alpha 90.00
_cell_angle_beta 90.00
_cell_angle_gamma 90.00
_symmetry_space_group_name_H-M 'P n m a'
_symmetry_Int_Tables_number 62
loop_
_symmetry_equiv_pos_as_xyz
'x,y,z'
'-x,-y,-z'
'-x+1/2,-y,z+1/2'
'x+1/2,y,-z+1/2'
'x+1/2,-y+1/2,-z+1/2'
'-x+1/2,y+1/2,z+1/2'
'-x,y+1/2,-z'
'x,-y+1/2,z'
loop_
_atom_site_label
_atom_site_fract_x
_atom_site_fract_y
_atom_site_fract_z
Nd1 0.0471 0.2500 0.1225
Nd2 0.1207 0.7500 0.5585
Nd3 0.2263 0.2500 0.7995
Ga1 0.0129 0.7500 0.3042
Ga2 0.1933 0.7500 0.0079
Pd1 0.1228 0.2500 0.3760